# KAlBr2

A geometry-optimized KAlBr2 structure (GGA-PBE, Alexandria).

Summary:
- total energy (eV/cell) = -11.7
- symmetry = No. 44
- energy above the most stable polymorph in this dataset (meV per atom) = 81.8

Cell lengths 8.145, 8.145, 8.145 Å; angles 149.97, 149.56, 43.29 degrees
Positions (direct):
K 0.000 0.000 0.000
Al 0.249 0.749 0.500
Br 0.407 0.407 0.000
Br 0.672 0.172 0.500